1.
# Tb5Ni2Os GGA-PBE optimized geometry
data_Tb5Ni2Os
_symmetry_space_group_name_H-M 'P 1'
_symmetry_Int_Tables_number 1
_cell_length_a 7.079
_cell_length_b 7.079
_cell_length_c 8.872
_cell_angle_alpha 113.51
_cell_angle_beta 113.51
_cell_angle_gamma 90.00
loop_
_symmetry_equiv_pos_as_xyz
'x,y,z'
loop_
_atom_site_label
_atom_site_type_symbol
_atom_site_fract_x
_atom_site_fract_y
_atom_site_fract_z
Tb1 Tb 0.471 0.324 0.294
Tb2 Tb 0.029 0.529 0.706
Tb3 Tb 0.676 0.176 0.706
Tb4 Tb 0.529 0.676 0.706
Tb5 Tb 0.824 0.971 0.294
Tb6 Tb 0.500 0.500 0.000
Tb7 Tb 0.000 0.000 0.000
Tb8 Tb 0.971 0.471 0.294
Tb9 Tb 0.324 0.824 0.294
Tb10 Tb 0.176 0.029 0.706
Os1 Os 0.250 0.250 0.500
Os2 Os 0.750 0.750 0.500
Ni1 Ni 0.118 0.382 0.000
Ni2 Ni 0.882 0.618 0.000
Ni3 Ni 0.618 0.118 0.000
Ni4 Ni 0.382 0.882 0.000
# E_form ... -308 meV/atom
# Symmetry ... I4/mcm
# Magnetic moment ... 0.00 μB/f.u.
# Crystal system ... tetragonal
# Total energy ... -96.809 eV per cell

2.
# Sr2YSb GGA-PBE optimized geometry
data_Sr2YSb
_symmetry_space_group_name_H-M 'P 1'
_symmetry_Int_Tables_number 1
_cell_length_a 6.827
_cell_length_b 6.827
_cell_length_c 6.827
_cell_angle_alpha 138.49
_cell_angle_beta 138.49
_cell_angle_gamma 60.16
loop_
_symmetry_equiv_pos_as_xyz
'x,y,z'
loop_
_atom_site_label
_atom_site_type_symbol
_atom_site_fract_x
_atom_site_fract_y
_atom_site_fract_z
Sb1 Sb 0.750 0.250 0.500
Sr1 Sr 0.000 0.000 0.000
Sr2 Sr 0.500 0.500 0.000
Y1 Y 0.250 0.750 0.500
# Symmetry ... I4/mmm
# Magnetic moment ... 0.00 μB/f.u.
# Crystal system ... tetragonal
# Total energy ... -15.284 eV per cell

3.
# LiMn2Pt GGA-PBE optimized geometry
data_LiMn2Pt
_symmetry_space_group_name_H-M 'P 1'
_symmetry_Int_Tables_number 1
_cell_length_a 4.620
_cell_length_b 4.620
_cell_length_c 4.620
_cell_angle_alpha 129.32
_cell_angle_beta 129.32
_cell_angle_gamma 74.50
loop_
_symmetry_equiv_pos_as_xyz
'x,y,z'
loop_
_atom_site_label
_atom_site_type_symbol
_atom_site_fract_x
_atom_site_fract_y
_atom_site_fract_z
Mn1 Mn 0.000 0.000 0.000
Mn2 Mn 0.250 0.750 0.500
Li1 Li 0.750 0.250 0.500
Pt1 Pt 0.500 0.500 0.000
# E_form ... -70 meV/atom
# Symmetry ... I-4m2
# Magnetic moment ... 7.92 μB/f.u.
# Crystal system ... tetragonal
# Total energy ... -26.573 eV per cell

4.
# CaTl2Au GGA-PBE optimized geometry
data_CaTl2Au
_symmetry_space_group_name_H-M 'P 1'
_symmetry_Int_Tables_number 1
_cell_length_a 4.598
_cell_length_b 4.598
_cell_length_c 4.866
_cell_angle_alpha 90.00
_cell_angle_beta 90.00
_cell_angle_gamma 90.00
loop_
_symmetry_equiv_pos_as_xyz
'x,y,z'
loop_
_atom_site_label
_atom_site_type_symbol
_atom_site_fract_x
_atom_site_fract_y
_atom_site_fract_z
Tl1 Tl 0.500 0.500 0.000
Tl2 Tl 0.000 0.000 0.000
Au1 Au 0.500 0.000 0.500
Ca1 Ca 0.000 0.500 0.500
# E_form ... -316 meV/atom
# Symmetry ... P4/mmm
# Magnetic moment ... 0.00 μB/f.u.
# Crystal system ... tetragonal
# Total energy ... -11.276 eV per cell

5.
# NaAsSe2I GGA-PBE optimized geometry
data_NaAsSe2I
_symmetry_space_group_name_H-M 'P 1'
_symmetry_Int_Tables_number 1
_cell_length_a 5.003
_cell_length_b 5.003
_cell_length_c 5.833
_cell_angle_alpha 90.00
_cell_angle_beta 90.00
_cell_angle_gamma 90.00
loop_
_symmetry_equiv_pos_as_xyz
'x,y,z'
loop_
_atom_site_label
_atom_site_type_symbol
_atom_site_fract_x
_atom_site_fract_y
_atom_site_fract_z
As1 As 0.000 0.000 0.500
Se1 Se 0.500 0.000 0.000
Se2 Se 0.000 0.500 0.000
Na1 Na 0.000 0.000 0.000
I1 I 0.500 0.500 0.500
# Symmetry ... P4/mmm
# Magnetic moment ... 0.00 μB/f.u.
# Crystal system ... tetragonal
# Offset from the most stable computed form ... 327.9 meV/atom
# Total energy ... -10.452 eV per cell